## CsVF3 (PBE+U)

Data for an optimized crystal structure of CsVF3.

```
data_CsVF3
_cell_length_a 11.3792
_cell_length_b 4.6296
_cell_length_c 4.7343
_cell_angle_alpha 89.49
_cell_angle_beta 72.98
_cell_angle_gamma 90.78
_symmetry_space_group_name_H-M 'P 1'
_symmetry_Int_Tables_number 1
_symmetry_space_group_name_Hall 'P 1'
loop_
_atom_site_label
_atom_site_type_symbol
_atom_site_fract_x
_atom_site_fract_y
_atom_site_fract_z
F1 F 0.7893 0.6686 0.7691
F2 F 0.3805 0.5169 0.8416
F3 F 0.0659 0.8907 0.0797
F4 F 0.2830 0.9952 0.5846
F5 F 0.5142 0.1531 0.1424
F6 F 0.1983 0.4911 0.3133
Cs1 Cs 0.9454 0.1750 0.6628
Cs2 Cs 0.6346 0.6690 0.3801
V1 V 0.3432 0.2301 0.2055
V2 V 0.2328 0.7691 0.9526
```

## Properties
- Total moment: 2.00 μB/f.u.
- Total DFT energy (no corrections): -5.20 eV/atom
- SG: P1 (1)